{
  "formula": "CaGa2MoBr",
  "functional": "GGA-PBE",
  "state": "relaxed",
  "lattice": [[5.798, 0.000, 0.000], [0.000, 5.798, 0.000], [0.000, 0.000, 5.311]],
  "species": ["Ca", "Ga", "Ga", "Mo", "Br"],
  "fractional_positions": [[0.000, 0.000, 0.000], [0.000, 0.500, 0.000], [0.500, 0.000, 0.000], [0.500, 0.500, 0.500], [0.000, 0.000, 0.500]],
  "formation_energy_uncorrected_ev_per_atom": 0.996,
  "space_group": "P4/mmm, No. 123"
}

{
  "formula": "V2ZnBr2",
  "functional": "GGA-PBE",
  "state": "relaxed",
  "lattice": [[-2.533, 2.533, 3.895], [2.533, -2.533, 3.895], [2.533, 2.533, -3.895]],
  "species": ["V", "V", "Zn", "Br", "Br"],
  "fractional_positions": [[0.118, 0.118, 0.000], [0.882, 0.882, 0.000], [0.500, 0.500, 0.000], [0.250, 0.750, 0.500], [0.750, 0.250, 0.500]],
  "polymorph_energy_kj_per_mol_atoms": 0.0,
  "formation_energy_uncorrected_ev_per_atom": 0.234,
  "space_group": "I4/mmm, No. 139"
}

{
  "formula": "K2HgPb",
  "functional": "GGA-PBE",
  "state": "relaxed",
  "lattice": [[-2.429, 2.696, 5.455], [2.429, -2.696, 5.455], [2.429, 2.696, -5.455]],
  "species": ["K", "K", "Hg", "Pb"],
  "fractional_positions": [[0.242, 0.242, 0.000], [0.758, 0.758, 0.000], [0.000, 0.500, 0.500], [0.500, 0.000, 0.500]],
  "formation_energy_mev_per_atom": -85,
  "space_group": "Immm, No. 71"
}

{
  "formula": "Y4MgAl2",
  "functional": "GGA-PBE",
  "state": "relaxed",
  "lattice": [[-2.742, 2.742, 7.283], [2.742, -2.742, 7.283], [2.742, 2.742, -7.283]],
  "species": ["Y", "Y", "Y", "Y", "Mg", "Al", "Al"],
  "fractional_positions": [[0.000, 0.500, 0.500], [0.200, 0.200, 0.000], [0.500, 0.000, 0.500], [0.800, 0.800, 0.000], [0.000, 0.000, 0.000], [0.401, 0.401, 0.000], [0.599, 0.599, 0.000]],
  "polymorph_energy_kj_per_mol_atoms": 56.2,
  "formation_energy_mev_per_atom": 354,
  "space_group": "I4/mmm, No. 139"
}

{
  "formula": "Zn2SiSnN4",
  "functional": "GGA-PBE",
  "state": "relaxed",
  "lattice": [[6.407, 0.000, 0.000], [0.000, 5.685, 0.000], [0.000, 0.000, 5.316]],
  "species": ["Zn", "Zn", "Zn", "Zn", "Si", "Si", "Sn", "Sn", "N", "N", "N", "N", "N", "N", "N", "N"],
  "fractional_positions": [[0.249, 0.166, 0.000], [0.251, 0.834, 0.500], [0.749, 0.834, 0.500], [0.751, 0.166, 0.000], [0.000, 0.673, 0.001], [0.500, 0.327, 0.501], [0.000, 0.348, 0.500], [0.500, 0.652, 0.000], [0.000, 0.378, 0.893], [0.000, 0.676, 0.332], [0.224, 0.822, 0.888], [0.276, 0.178, 0.388], [0.500, 0.324, 0.832], [0.500, 0.622, 0.393], [0.724, 0.178, 0.388], [0.776, 0.822, 0.888]],
  "formation_energy_uncorrected_ev_per_atom": -0.350,
  "space_group": "Pmn2_1, No. 31"
}

{
  "formula": "CeTmTh",
  "functional": "GGA-PBE",
  "state": "relaxed",
  "lattice": [[1.750, 1.010, 8.568], [-1.750, 1.010, 8.568], [0.000, -2.020, 8.568]],
  "species": ["Ce", "Tm", "Th"],
  "fractional_positions": [[0.000, 0.000, 0.000], [0.223, 0.223, 0.223], [0.778, 0.778, 0.778]],
  "polymorph_energy_kj_per_mol_atoms": 3.6,
  "formation_energy_mev_per_atom": 60,
  "space_group": "R3m, No. 160"
}

{
  "formula": "NaNdTh",
  "functional": "GGA-PBE",
  "state": "relaxed",
  "lattice": [[3.559, 0.000, 0.000], [-1.779, 3.082, 0.000], [0.000, 0.000, 9.396]],
  "species": ["Na", "Nd", "Th"],
  "fractional_positions": [[0.000, 0.000, 0.000], [0.667, 0.333, 0.347], [0.333, 0.667, 0.654]],
  "polymorph_energy_kj_per_mol_atoms": 0.0,
  "formation_energy_mev_per_atom": 167,
  "space_group": "P3m1, No. 156"
}

{
  "formula": "GeSbP3",
  "functional": "GGA-PBE",
  "state": "relaxed",
  "lattice": [[4.715, 0.000, 0.000], [0.000, 4.715, 0.000], [0.000, 0.000, 4.715]],
  "species": ["Ge", "Sb", "P", "P", "P"],
  "fractional_positions": [[0.000, 0.000, 0.000], [0.500, 0.500, 0.500], [0.000, 0.000, 0.500], [0.000, 0.500, 0.000], [0.500, 0.000, 0.000]],
  "polymorph_energy_kj_per_mol_atoms": 0.0,
  "formation_energy_uncorrected_ev_per_atom": 0.842,
  "space_group": "Pm-3m, No. 221"
}

{
  "formula": "AcCu2GeIr",
  "functional": "GGA-PBE",
  "state": "relaxed",
  "lattice": [[-2.161, 2.180, 5.065], [2.161, -2.180, 5.065], [2.161, 2.180, -5.065]],
  "species": ["Ac", "Cu", "Cu", "Ge", "Ir"],
  "fractional_positions": [[0.000, 0.000, 0.000], [0.616, 0.616, 0.000], [0.748, 0.248, 0.500], [0.367, 0.367, 0.000], [0.249, 0.749, 0.500]],
  "formation_energy_mev_per_atom": -347,
  "space_group": "Imm2, No. 44"
}

{
  "formula": "Nb3AgSe",
  "functional": "GGA-PBE",
  "state": "relaxed",
  "lattice": [[4.759, 0.000, 0.000], [0.000, 4.759, 0.000], [0.000, 0.000, 4.759]],
  "species": ["Nb", "Nb", "Nb", "Ag", "Se"],
  "fractional_positions": [[0.000, 0.000, 0.500], [0.000, 0.500, 0.000], [0.500, 0.000, 0.000], [0.500, 0.500, 0.500], [0.000, 0.000, 0.000]],
  "polymorph_energy_kj_per_mol_atoms": 0.0,
  "formation_energy_uncorrected_ev_per_atom": 0.757,
  "space_group": "Pm-3m, No. 221"
}

{
  "formula": "NdY2Th",
  "functional": "GGA-PBE",
  "state": "relaxed",
  "lattice": [[3.133, -1.815, 0.000], [3.133, 1.815, 0.000], [-0.010, 0.000, 11.565]],
  "species": ["Nd", "Y", "Y", "Th"],
  "fractional_positions": [[0.000, 0.000, 0.000], [0.334, 0.334, 0.257], [0.666, 0.666, 0.743], [0.000, 0.000, 0.500]],
  "polymorph_energy_kj_per_mol_atoms": 0.0,
  "formation_energy_mev_per_atom": -1,
  "space_group": "C2/m, No. 12"
}

{
  "formula": "AcRhPb3",
  "functional": "GGA-PBE",
  "state": "relaxed",
  "lattice": [[5.374, 0.000, 0.000], [0.000, 5.374, 0.000], [0.000, 0.000, 5.374]],
  "species": ["Ac", "Rh", "Pb", "Pb", "Pb"],
  "fractional_positions": [[0.000, 0.000, 0.000], [0.500, 0.500, 0.500], [0.000, 0.500, 0.500], [0.500, 0.000, 0.500], [0.500, 0.500, 0.000]],
  "polymorph_energy_kj_per_mol_atoms": 22.7,
  "formation_energy_mev_per_atom": -88,
  "space_group": "Pm-3m, No. 221"
}

What uncorrected energy values result from the calculations? In sequence: -3.115; -4.338; -1.637; -4.637; -6.010; -5.882; -4.336; -4.152; -5.503; -6.552; -6.280; -4.605 eV/atom.
What magnetic moment values result from the calculations? In sequence: 4.76; 0.00; 0.00; 0.00; 0.00; 0.21; 0.00; 0.00; 0.00; 0.00; 0.00; 0.00 μB/cell.